DFT (SCAN) results for a crystal of Sr3C4 relaxed with PBEsol.

DOS at the Fermi energy (states/eV/f.u.): 2.18
Calculated formation energy (eV/atom): 1.869
Raw total energy (eV/cell): -94.14
Density (g/cm³): 3.06

a b c (Å): 5.528 5.528 5.528
angles (deg): 90.00 90.00 90.00
Space group Pm-3m (No. 221)
Asymmetric unit:
Sr (0.000, 0.000, 0.500)
C (0.000, 0.000, 0.000)
C (0.000, 0.500, 0.500)